42
Lattice="9.676 -2.793 0.000 9.676 2.793 0.000 -2.086 0.000 10.770" Properties=species:S:1:pos:R:3 comment="VNi4P16 | the Alexandria database | PBEsol | relaxed" e_form_ev_per_atom=-0.39 pbc="T T T"
V 8.112 2.198 8.078
V 9.155 -2.198 2.693
Ni 4.561 0.310 1.394
Ni 6.734 0.519 4.590
Ni 3.518 -0.310 6.779
Ni 5.691 -0.519 9.975
Ni 11.575 0.519 0.795
Ni 13.749 0.310 3.991
Ni 10.532 -0.519 6.180
Ni 12.705 -0.310 9.377
P 3.630 0.932 3.356
P 1.607 0.217 5.839
P 1.586 0.002 3.618
P 0.543 -0.002 9.003
P 6.596 1.575 9.871
P 2.650 -0.217 0.454
P 3.602 0.378 10.203
P 8.770 1.506 4.207
P 6.497 0.705 2.376
P 9.540 1.506 1.178
P 9.627 1.575 6.284
P 4.645 -0.378 4.818
P 7.203 0.320 6.826
P 2.587 -0.932 8.741
P 5.454 -0.705 7.761
P 8.247 -0.320 1.440
P 9.020 0.320 9.330
P 11.812 0.705 3.009
P 14.680 0.932 2.029
P 10.063 -0.320 3.945
P 12.622 0.378 5.952
P 7.640 -1.575 4.486
P 7.727 -1.506 9.592
P 10.769 -0.705 8.394
P 8.497 -1.506 6.563
P 13.665 -0.378 0.567
P 14.617 0.217 10.316
P 10.670 -1.575 0.899
P 16.723 0.002 1.767
P 15.680 -0.002 7.152
P 15.660 -0.217 4.931
P 13.637 -0.932 7.414



4
Lattice="2.427 -3.734 0.000 2.427 3.734 0.000 0.000 0.000 2.708" Properties=species:S:1:pos:R:3 comment="Ni2PW | the Alexandria database | PBEsol | relaxed" e_form_ev_per_atom=0.00 pbc="T T T"
Ni 1.214 1.867 0.000
Ni 1.214 -1.867 0.000
P 0.000 0.000 1.354
W 2.427 0.000 1.354



8
Lattice="3.315 0.000 0.000 -1.657 2.871 0.000 0.000 0.000 11.093" Properties=species:S:1:pos:R:3 comment="NiP2W | the Alexandria database | PBEsol | relaxed" e_form_ev_per_atom=-0.54 pbc="T T T"
Ni 0.000 0.000 0.000
Ni 0.000 0.000 5.547
P 0.000 1.914 1.234
P 0.000 1.914 4.313
P 1.657 0.957 6.781
P 1.657 0.957 9.859
W 0.000 0.000 2.773
W 0.000 0.000 8.320



4
Lattice="3.871 -1.484 0.000 3.871 1.484 0.000 -0.424 0.000 4.588" Properties=species:S:1:pos:R:3 comment="NiP2W | the Alexandria database | PBEsol | relaxed" e_form_ev_per_atom=-0.05 pbc="T T T"
Ni 0.000 0.000 0.000
P 1.454 0.000 3.370
P 5.864 0.000 1.219
W 3.659 0.000 2.294



4
Lattice="4.388 -1.353 0.000 4.388 1.353 0.000 -1.808 0.000 4.086" Properties=species:S:1:pos:R:3 comment="Ni2PW | the Alexandria database | PBEsol | relaxed" e_form_ev_per_atom=-0.16 pbc="T T T"
Ni 0.000 0.000 0.000
Ni 0.584 0.000 3.303
P 3.954 0.000 1.807
W 6.321 0.000 1.416



42
Lattice="9.737 -2.814 0.000 9.737 2.814 0.000 -2.094 0.000 10.834" Properties=species:S:1:pos:R:3 comment="Ni4P16W | the Alexandria database | PBEsol | relaxed" e_form_ev_per_atom=-0.36 pbc="T T T"
Ni 1.914 0.525 0.805
Ni 4.101 0.310 4.017
Ni 0.867 -0.525 6.222
Ni 3.054 -0.310 9.435
Ni 14.326 0.310 1.400
Ni 16.513 0.525 4.612
Ni 13.279 -0.310 6.817
Ni 15.466 -0.525 10.029
P -0.625 0.303 9.407
P 2.165 0.699 3.026
P 5.026 0.933 2.041
P 0.422 -0.303 3.990
P 2.978 0.382 5.992
P 7.654 1.233 4.539
P 7.773 1.328 9.668
P 1.118 -0.699 8.443
P 8.560 1.328 6.583
P 4.026 -0.382 0.575
P 4.964 0.228 10.367
P 10.773 1.233 0.878
P 5.999 0.025 7.165
P 7.046 -0.025 1.748
P 6.011 -0.228 4.950
P 3.979 -0.933 7.458
P 13.401 0.933 3.376
P 11.369 0.228 5.884
P 10.334 0.025 9.086
P 11.381 -0.025 3.669
P 6.607 -1.233 9.956
P 12.416 -0.228 0.467
P 13.355 0.382 10.260
P 8.820 -1.328 4.251
P 16.262 0.699 2.391
P 9.607 -1.328 1.166
P 9.726 -1.233 6.295
P 14.402 -0.382 4.842
P 16.958 0.303 6.845
P 12.354 -0.933 8.793
P 15.215 -0.699 7.808
P 18.005 -0.303 1.428
W 9.214 0.590 2.709
W 8.167 -0.590 8.126



4
Lattice="3.065 0.000 0.000 0.000 3.876 0.000 0.000 0.000 4.004" Properties=species:S:1:pos:R:3 comment="Ni2PW | the Alexandria database | PBEsol | relaxed" e_form_ev_per_atom=-0.11 pbc="T T T"
Ni 0.000 0.000 0.000
Ni 1.532 1.938 0.000
P 0.000 1.938 2.002
W 1.532 0.000 2.002



4
Lattice="3.193 0.000 0.000 0.000 3.193 0.000 0.000 0.000 4.958" Properties=species:S:1:pos:R:3 comment="NiP2W | the Alexandria database | PBEsol | relaxed" e_form_ev_per_atom=-0.35 pbc="T T T"
Ni 0.000 0.000 0.000
P 0.000 0.000 2.230
P 1.596 1.596 0.635
W 1.596 1.596 3.185



4
Lattice="3.372 0.000 0.000 0.000 1.479 4.873 0.000 -1.479 4.873" Properties=species:S:1:pos:R:3 comment="Ni2PW | the Alexandria database | PBEsol | relaxed" e_form_ev_per_atom=-0.21 pbc="T T T"
Ni 0.000 0.000 0.000
Ni 1.686 0.000 3.768
P 1.686 0.000 1.315
W 0.000 0.000 7.209



4
Lattice="1.629 -2.287 0.000 1.629 2.287 0.000 0.000 0.000 7.046" Properties=species:S:1:pos:R:3 comment="NiP2W | the Alexandria database | PBEsol | relaxed" e_form_ev_per_atom=0.19 pbc="T T T"
Ni 0.000 0.000 0.000
P 1.629 0.000 1.656
P 1.629 0.000 5.390
W 0.000 0.000 3.523



6
Lattice="3.848 0.000 0.000 -1.924 3.333 0.000 0.000 0.000 7.652" Properties=species:S:1:pos:R:3 comment="YNiP | the Alexandria database | PBEsol | relaxed" e_form_ev_per_atom=-1.29 pbc="T T T"
Y 0.000 0.000 0.000
Y 0.000 0.000 3.826
Ni 0.000 2.222 1.913
Ni 1.924 1.111 5.739
P 0.000 2.222 5.739
P 1.924 1.111 1.913



4
Lattice="3.931 0.000 0.000 0.000 1.930 5.156 0.000 -1.930 5.156" Properties=species:S:1:pos:R:3 comment="Y2NiP | the Alexandria database | PBEsol | relaxed" e_form_ev_per_atom=-1.02 pbc="T T T"
Y 0.000 0.000 0.000
Y 1.966 0.000 2.889
Ni 0.000 0.000 7.284
P 1.966 0.000 5.876